Entry 1:
## KCdCo2Pt (GGA-PBE)

Data for a geometry-optimized KCdCo2Pt structure.

```
data_KCdCo2Pt
_space_group_name_H-M_alt 'P 1'
_space_group_IT_number 1
_space_group_name_Hall 'P 1'
_cell_length_a 4.849
_cell_length_b 4.849
_cell_length_c 5.251
_cell_angle_alpha 90.00
_cell_angle_beta 90.00
_cell_angle_gamma 90.00
loop_
_atom_site_label
_atom_site_type_symbol
_atom_site_fract_x
_atom_site_fract_y
_atom_site_fract_z
K1 K 0.000 0.000 0.000
Cd1 Cd 0.500 0.500 0.000
Co1 Co 0.000 0.500 0.500
Co2 Co 0.500 0.000 0.500
Pt1 Pt 0.500 0.500 0.500
```

Formation energy from the elements (eV per atom): 0.6066



Entry 2:
## KCd2CoS (GGA-PBE)

Data for a geometry-optimized KCd2CoS structure.

```
data_KCd2CoS
_space_group_name_H-M_alt 'P 1'
_space_group_IT_number 1
_space_group_name_Hall 'P 1'
_cell_length_a 5.961
_cell_length_b 5.961
_cell_length_c 4.111
_cell_angle_alpha 90.00
_cell_angle_beta 90.00
_cell_angle_gamma 90.00
loop_
_atom_site_label
_atom_site_type_symbol
_atom_site_fract_x
_atom_site_fract_y
_atom_site_fract_z
K1 K 0.000 0.000 0.000
Cd1 Cd 0.000 0.500 0.500
Cd2 Cd 0.500 0.000 0.500
Co1 Co 0.500 0.500 0.000
S1 S 0.500 0.500 0.500
```

Raw formation energy (eV per formula unit): 1.14



Entry 3:
## KScCdCo2 (GGA-PBE)

Data for a geometry-optimized KScCdCo2 structure.

```
data_KScCdCo2
_space_group_name_H-M_alt 'P 1'
_space_group_IT_number 1
_space_group_name_Hall 'P 1'
_cell_length_a 5.024
_cell_length_b 5.024
_cell_length_c 5.265
_cell_angle_alpha 90.00
_cell_angle_beta 90.00
_cell_angle_gamma 90.00
loop_
_atom_site_label
_atom_site_type_symbol
_atom_site_fract_x
_atom_site_fract_y
_atom_site_fract_z
K1 K 0.000 0.000 0.000
Sc1 Sc 0.500 0.500 0.000
Cd1 Cd 0.500 0.500 0.500
Co1 Co 0.000 0.500 0.500
Co2 Co 0.500 0.000 0.500
```

Formation energy from the elements (eV per atom): 1.1719